1.
A relaxed LiPb2Au crystal. Source: Alexandria via LeMat-Bulk, functional PBE.

a b c (Å): 9.525 9.525 9.525
angles (deg): 20.94 20.94 20.94
Sites, in units of the cell vectors:
Li (0.000, 0.000, 0.000)
Pb (0.248, 0.248, 0.248)
Pb (0.752, 0.752, 0.752)
Au (0.500, 0.500, 0.500)

Computed properties:
**DFT total energy**: -3.220 eV per atom
**Energy of formation**: -0.068 eV/atom
**Symmetry**: R-3m (166)
**ΔE to the lowest computed polymorph**: 140.5 meV/atom
**Calculated volume**: 24.166 Å³/atom

***

2.
A relaxed LiPbAu14 crystal. Source: Alexandria via LeMat-Bulk, functional PBE.

a b c (Å): 5.983 5.983 8.281
angles (deg): 90.00 90.00 90.00
Sites, in units of the cell vectors:
Li (0.000, 0.000, 0.000)
Pb (0.500, 0.500, 0.000)
Au (0.000, 0.000, 0.500)
Au (0.000, 0.500, 0.000)
Au (0.000, 0.500, 0.500)
Au (0.243, 0.243, 0.254)
Au (0.243, 0.243, 0.746)
Au (0.243, 0.757, 0.254)
Au (0.243, 0.757, 0.746)
Au (0.500, 0.000, 0.000)
Au (0.500, 0.000, 0.500)
Au (0.500, 0.500, 0.500)
Au (0.757, 0.243, 0.254)
Au (0.757, 0.243, 0.746)
Au (0.757, 0.757, 0.254)
Au (0.757, 0.757, 0.746)

Computed properties:
**DFT total energy**: -3.268 eV per atom
**Energy of formation**: -0.049 eV/atom
**Symmetry**: P4/mmm (123)
**Calculated volume**: 18.525 Å³/atom

***

3.
A relaxed Li2PbAu crystal. Source: Alexandria via LeMat-Bulk, functional PBE.

a b c (Å): 4.747 4.747 4.747
angles (deg): 119.75 119.75 90.43
Sites, in units of the cell vectors:
Li (0.000, 0.000, 0.000)
Li (0.750, 0.250, 0.500)
Pb (0.250, 0.750, 0.500)
Au (0.500, 0.500, 0.000)

Computed properties:
**DFT total energy**: -3.105 eV per atom
**Energy of formation**: -0.401 eV/atom
**Symmetry**: I-4m2 (119)
**Calculated volume**: 18.978 Å³/atom

***

4.
A relaxed Li4Pb3Au crystal. Source: Alexandria via LeMat-Bulk, functional PBE.

a b c (Å): 3.539 3.539 13.179
angles (deg): 90.00 90.00 90.00
Sites, in units of the cell vectors:
Li (0.000, 0.000, 0.102)
Li (0.000, 0.000, 0.366)
Li (0.000, 0.000, 0.634)
Li (0.000, 0.000, 0.898)
Pb (0.500, 0.500, 0.231)
Pb (0.500, 0.500, 0.500)
Pb (0.500, 0.500, 0.769)
Au (0.500, 0.500, 0.000)

Computed properties:
**DFT total energy**: -3.083 eV per atom
**Energy of formation**: -0.326 eV/atom
**Symmetry**: P4/mmm (123)
**Calculated volume**: 20.635 Å³/atom

***

5.
A relaxed LiPb2Au crystal. Source: Alexandria via LeMat-Bulk, functional PBE.

a b c (Å): 3.765 3.668 6.930
angles (deg): 90.00 90.90 90.00
Sites, in units of the cell vectors:
Li (0.000, 0.000, 0.000)
Pb (0.498, 0.500, 0.258)
Pb (0.502, 0.500, 0.742)
Au (0.000, 0.000, 0.500)

Computed properties:
**DFT total energy**: -3.277 eV per atom
**Energy of formation**: -0.125 eV/atom
**Symmetry**: P2/m (10)
**ΔE to the lowest computed polymorph**: 83.6 meV/atom
**Calculated volume**: 23.922 Å³/atom

***

6.
A relaxed Li2Pb2Au crystal. Source: Alexandria via LeMat-Bulk, functional PBE.

a b c (Å): 6.910 6.910 4.435
angles (deg): 90.00 90.00 90.00
Sites, in units of the cell vectors:
Li (0.143, 0.357, 0.000)
Li (0.357, 0.857, 0.000)
Li (0.643, 0.143, 0.000)
Li (0.857, 0.643, 0.000)
Pb (0.171, 0.671, 0.500)
Pb (0.329, 0.171, 0.500)
Pb (0.671, 0.829, 0.500)
Pb (0.829, 0.329, 0.500)
Au (0.000, 0.000, 0.000)
Au (0.500, 0.500, 0.000)

Computed properties:
**DFT total energy**: -3.130 eV per atom
**Energy of formation**: -0.225 eV/atom
**Symmetry**: P4/mbm (127)
**Calculated volume**: 21.175 Å³/atom

***

7.
A relaxed Li6PbAu2 crystal. Source: Alexandria via LeMat-Bulk, functional PBE.

a b c (Å): 7.914 7.914 2.966
angles (deg): 99.50 99.50 57.48
Sites, in units of the cell vectors:
Li (0.148, 0.509, 0.839)
Li (0.162, 0.838, 0.000)
Li (0.491, 0.852, 0.161)
Li (0.509, 0.148, 0.839)
Li (0.838, 0.162, 0.000)
Li (0.852, 0.491, 0.161)
Pb (0.500, 0.500, 0.500)
Au (0.153, 0.153, 0.633)
Au (0.847, 0.847, 0.367)

Computed properties:
**DFT total energy**: -2.770 eV per atom
**Energy of formation**: -0.354 eV/atom
**Symmetry**: C2/m (12)
**ΔE to the lowest computed polymorph**: 41.1 meV/atom
**Calculated volume**: 17.090 Å³/atom

***

8.
A relaxed Li8PbAu6 crystal. Source: Alexandria via LeMat-Bulk, functional PBE.

a b c (Å): 7.031 7.031 7.031
angles (deg): 69.16 69.16 69.16
Sites, in units of the cell vectors:
Li (0.061, 0.382, 0.710)
Li (0.167, 0.167, 0.167)
Li (0.290, 0.939, 0.618)
Li (0.382, 0.710, 0.061)
Li (0.618, 0.290, 0.939)
Li (0.710, 0.061, 0.382)
Li (0.833, 0.833, 0.833)
Li (0.939, 0.618, 0.290)
Pb (0.500, 0.500, 0.500)
Au (0.092, 0.801, 0.448)
Au (0.199, 0.552, 0.908)
Au (0.448, 0.092, 0.801)
Au (0.552, 0.908, 0.199)
Au (0.801, 0.448, 0.092)
Au (0.908, 0.199, 0.552)

Computed properties:
**DFT total energy**: -2.951 eV per atom
**Energy of formation**: -0.372 eV/atom
**Symmetry**: R-3 (148)
**Calculated volume**: 19.533 Å³/atom

***

9.
A relaxed Li6Pb2Au crystal. Source: Alexandria via LeMat-Bulk, functional PBE.

a b c (Å): 8.324 8.606 4.677
angles (deg): 90.00 90.00 90.00
Sites, in units of the cell vectors:
Li (0.002, 0.185, 0.000)
Li (0.154, 0.596, 0.500)
Li (0.178, 0.928, 0.500)
Li (0.322, 0.428, 0.000)
Li (0.346, 0.096, 0.000)
Li (0.498, 0.685, 0.500)
Li (0.502, 0.315, 0.500)
Li (0.654, 0.904, 0.000)
Li (0.678, 0.572, 0.000)
Li (0.822, 0.072, 0.500)
Li (0.846, 0.404, 0.500)
Li (0.998, 0.815, 0.000)
Pb (0.168, 0.264, 0.500)
Pb (0.332, 0.764, 0.000)
Pb (0.668, 0.236, 0.000)
Pb (0.832, 0.736, 0.500)
Au (0.000, 0.500, 0.000)
Au (0.500, 0.000, 0.500)

Computed properties:
**DFT total energy**: -2.791 eV per atom
**Energy of formation**: -0.326 eV/atom
**Symmetry**: Pnnm (58)
**ΔE to the lowest computed polymorph**: 0.0 meV/atom
**Calculated volume**: 18.613 Å³/atom

***

10.
A relaxed LiPbAu crystal. Source: Alexandria via LeMat-Bulk, functional PBE.

a b c (Å): 4.673 4.673 4.673
angles (deg): 60.00 60.00 60.00
Sites, in units of the cell vectors:
Li (0.000, 0.000, 0.000)
Pb (0.500, 0.500, 0.500)
Au (0.250, 0.250, 0.250)

Computed properties:
**DFT total energy**: -3.239 eV per atom
**Energy of formation**: -0.272 eV/atom
**Symmetry**: F-43m (216)
**Calculated volume**: 24.055 Å³/atom

***

11.
A relaxed Li2PbAu crystal. Source: Alexandria via LeMat-Bulk, functional PBE.

a b c (Å): 8.546 8.546 8.546
angles (deg): 22.94 22.94 22.94
Sites, in units of the cell vectors:
Li (0.235, 0.235, 0.235)
Li (0.765, 0.765, 0.765)
Pb (0.000, 0.000, 0.000)
Au (0.500, 0.500, 0.500)

Computed properties:
**DFT total energy**: -2.971 eV per atom
**Energy of formation**: -0.268 eV/atom
**Symmetry**: R-3m (166)
**Calculated volume**: 20.805 Å³/atom

***

12.
A relaxed LiPb2Au crystal. Source: Alexandria via LeMat-Bulk, functional PBE.

a b c (Å): 5.963 5.963 4.928
angles (deg): 110.78 110.78 35.82
Sites, in units of the cell vectors:
Li (0.000, 0.000, 0.000)
Pb (0.548, 0.548, 0.544)
Pb (0.773, 0.773, 0.235)
Au (0.311, 0.311, 0.770)

Computed properties:
**DFT total energy**: -3.329 eV per atom
**Energy of formation**: -0.177 eV/atom
**Symmetry**: Cm (8)
**ΔE to the lowest computed polymorph**: 31.6 meV/atom
**Calculated volume**: 23.788 Å³/atom

***

13.
A relaxed LiPb2Au crystal. Source: Alexandria via LeMat-Bulk, functional PBE.

a b c (Å): 3.775 4.499 5.849
angles (deg): 90.00 108.22 90.00
Sites, in units of the cell vectors:
Li (0.000, 0.000, 0.000)
Pb (0.287, 0.000, 0.550)
Pb (0.580, 0.500, 0.167)
Au (0.874, 0.500, 0.731)

Computed properties:
**DFT total energy**: -3.346 eV per atom
**Energy of formation**: -0.194 eV/atom
**Symmetry**: Pm (6)
**ΔE to the lowest computed polymorph**: 14.7 meV/atom
**Calculated volume**: 23.591 Å³/atom

***

14.
A relaxed Li4PbAu7 crystal. Source: Alexandria via LeMat-Bulk, functional PBE.

a b c (Å): 6.046 6.046 9.844
angles (deg): 118.46 118.46 51.66
Sites, in units of the cell vectors:
Li (0.093, 0.093, 0.273)
Li (0.253, 0.253, 0.838)
Li (0.747, 0.747, 0.162)
Li (0.907, 0.907, 0.727)
Pb (0.500, 0.500, 0.500)
Au (0.000, 0.000, 0.500)
Au (0.136, 0.136, 0.023)
Au (0.284, 0.284, 0.593)
Au (0.431, 0.431, 0.154)
Au (0.569, 0.569, 0.846)
Au (0.716, 0.716, 0.407)
Au (0.864, 0.864, 0.977)

Computed properties:
**DFT total energy**: -3.114 eV per atom
**Energy of formation**: -0.255 eV/atom
**Symmetry**: C2/m (12)
**Calculated volume**: 19.952 Å³/atom

***

15.
A relaxed LiPbAu5 crystal. Source: Alexandria via LeMat-Bulk, functional PBE.

a b c (Å): 3.985 3.985 8.952
angles (deg): 90.00 90.00 90.00
Sites, in units of the cell vectors:
Li (0.000, 0.000, 0.000)
Pb (0.500, 0.500, 0.500)
Au (0.000, 0.500, 0.235)
Au (0.000, 0.500, 0.765)
Au (0.500, 0.000, 0.235)
Au (0.500, 0.000, 0.765)
Au (0.500, 0.500, 0.000)

Computed properties:
**DFT total energy**: -3.332 eV per atom
**Energy of formation**: -0.188 eV/atom
**Symmetry**: P4/mmm (123)
**Calculated volume**: 20.311 Å³/atom

***

16.
A relaxed LiPb2Au crystal. Source: Alexandria via LeMat-Bulk, functional PBE.

a b c (Å): 6.572 6.572 6.572
angles (deg): 103.45 103.45 122.33
Sites, in units of the cell vectors:
Li (0.000, 0.000, 0.000)
Li (0.750, 0.250, 0.500)
Pb (0.145, 0.625, 0.020)
Pb (0.375, 0.395, 0.520)
Pb (0.605, 0.125, 0.980)
Pb (0.875, 0.855, 0.480)
Au (0.250, 0.750, 0.500)
Au (0.500, 0.500, 0.000)

Computed properties:
**DFT total energy**: -3.204 eV per atom
**Energy of formation**: -0.052 eV/atom
**Symmetry**: I-42d (122)
**ΔE to the lowest computed polymorph**: 156.7 meV/atom
**Calculated volume**: 26.265 Å³/atom

***

17.
A relaxed LiPb2Au2 crystal. Source: Alexandria via LeMat-Bulk, functional PBE.

a b c (Å): 5.993 5.993 5.993
angles (deg): 124.21 124.21 82.86
Sites, in units of the cell vectors:
Li (0.000, 0.000, 0.000)
Pb (0.329, 0.329, 0.000)
Pb (0.671, 0.671, 0.000)
Au (0.250, 0.750, 0.500)
Au (0.750, 0.250, 0.500)

Computed properties:
**DFT total energy**: -3.173 eV per atom
**Energy of formation**: 0.004 eV/atom
**Symmetry**: I4/mmm (139)
**ΔE to the lowest computed polymorph**: 215.0 meV/atom
**Calculated volume**: 28.268 Å³/atom

***

18.
A relaxed LiPb2Au crystal. Source: Alexandria via LeMat-Bulk, functional PBE.

a b c (Å): 4.554 4.554 6.039
angles (deg): 111.56 111.56 59.93
Sites, in units of the cell vectors:
Li (0.000, 0.000, 0.000)
Pb (0.571, 0.571, 0.712)
Pb (0.775, 0.775, 0.326)
Au (0.347, 0.347, 0.042)

Computed properties:
**DFT total energy**: -3.331 eV per atom
**Energy of formation**: -0.179 eV/atom
**Symmetry**: Cm (8)
**ΔE to the lowest computed polymorph**: 30.1 meV/atom
**Calculated volume**: 24.542 Å³/atom

***

19.
A relaxed Li3Pb2Au crystal. Source: Alexandria via LeMat-Bulk, functional PBE.

a b c (Å): 4.756 6.912 7.584
angles (deg): 89.89 72.92 89.86
Sites, in units of the cell vectors:
Li (0.000, 0.237, 0.001)
Li (0.000, 0.763, 0.999)
Li (0.321, 0.205, 0.361)
Li (0.321, 0.795, 0.362)
Li (0.679, 0.205, 0.638)
Li (0.679, 0.795, 0.639)
Pb (0.169, 0.499, 0.664)
Pb (0.500, 0.000, 0.000)
Pb (0.500, 0.500, 0.000)
Pb (0.831, 0.501, 0.336)
Au (0.149, 0.001, 0.692)
Au (0.851, 0.999, 0.308)

Computed properties:
**DFT total energy**: -3.087 eV per atom
**Energy of formation**: -0.348 eV/atom
**Symmetry**: P-1 (2)
**Calculated volume**: 19.857 Å³/atom

***

20.
A relaxed LiPbAu crystal. Source: Alexandria via LeMat-Bulk, functional PBE.

a b c (Å): 3.348 3.348 6.838
angles (deg): 90.00 90.00 120.00
Sites, in units of the cell vectors:
Li (0.000, 0.000, 0.000)
Pb (0.333, 0.667, 0.378)
Au (0.667, 0.333, 0.734)

Computed properties:
**DFT total energy**: -3.091 eV per atom
**Energy of formation**: -0.124 eV/atom
**Symmetry**: P3m1 (156)
**Calculated volume**: 22.130 Å³/atom